Entry 1:
Below is a relaxed AcNpPtO6 crystal, with properties calculated at the PBE level.

**E_form (uncorrected)**: -2.03 eV/atom
**Volume**: 255.5 Å³ per cell
**DOS at the Fermi energy**: 3.13 states/eV/f.u.

Lattice parameters (Å, degrees): 5.9263 5.9263 8.3993 90.00 90.00 120.00
Space group P-31c (No. 163)
Unique sites:
Ac 0.3333 0.6667 0.2500
Np 0.3333 0.6667 0.7500
Pt 0.0000 0.0000 0.0000
O 0.0570 0.3478 0.6153

***

Entry 2:
Below is a relaxed AcPu2NpO8 crystal, with properties calculated at the PBE level.

**E_form (uncorrected)**: -3.12 eV/atom
**Volume**: 166.4 Å³ per cell
**DOS at the Fermi energy**: 16.05 states/eV/f.u.

Lattice parameters (Å, degrees): 3.973 5.496 7.619 90.00 90.00 90.00
Space group Pmmm (No. 47)
Unique sites:
Ac 0.000 0.000 0.000
Pu 0.500 0.500 0.256
Np 0.000 0.000 0.500
O 0.000 0.255 0.278
O 0.500 0.242 0.500
O 0.500 0.275 0.000

***

Entry 3:
Below is a relaxed Rb4Ac3NpO8 crystal, with properties calculated at the PBE level.

**E_form (uncorrected)**: -2.41 eV/atom
**Volume**: 1016.0 Å³ per cell
**DOS at the Fermi energy**: 14.27 states/eV/f.u.

Lattice parameters (Å, degrees): 7.6537 7.6537 20.0267 90.00 90.00 120.00
Space group R-3m (No. 166, hexagonal axes)
Unique sites:
Rb 0.0000 0.0000 0.0000
Rb 0.0000 0.5000 0.0000
Ac 0.0000 0.5000 0.5000
Np 0.0000 0.0000 0.5000
O 0.0000 0.0000 0.2276
O 0.0222 0.5111 0.2259

***

Entry 4:
Below is a relaxed Rb2AcNp3O12 crystal, with properties calculated at the PBE level.

**E_form (uncorrected)**: -2.74 eV/atom
**Volume**: 991.4 Å³ per cell
**DOS at the Fermi energy**: 11.67 states/eV/f.u.

Lattice parameters (Å, degrees): 8.2021 8.2021 17.0169 90.00 90.00 120.00
Space group R-3m (No. 166, hexagonal axes)
Unique sites:
Rb 0.0000 0.0000 0.1143
Ac 0.0000 0.0000 0.5000
Np 0.0000 0.5000 0.0000
O 0.0202 0.5101 0.8885
O 0.0926 0.5463 0.3155

***

Entry 5:
Below is a relaxed Rb2AcNp2O7 crystal, with properties calculated at the PBE level.

**E_form (uncorrected)**: -2.74 eV/atom
**Volume**: 442.4 Å³ per cell
**DOS at the Fermi energy**: 12.70 states/eV/f.u.

Lattice parameters (Å, degrees): 4.380 4.380 23.061 90.00 90.00 90.00
Space group I4/mmm (No. 139)
Unique sites:
Rb 0.000 0.000 0.194
Ac 0.000 0.000 0.000
Np 0.000 0.000 0.406
O 0.000 0.000 0.319
O 0.000 0.000 0.500
O 0.000 0.500 0.076

***

Entry 6:
Below is a relaxed RbAcNpO4 crystal, with properties calculated at the PBE level.

**E_form (uncorrected)**: -2.74 eV/atom
**Volume**: 591.4 Å³ per cell
**DOS at the Fermi energy**: 7.96 states/eV/f.u.

Lattice parameters (Å, degrees): 7.147 7.804 10.602 90.00 90.00 90.00
Space group Imma (No. 74)
Unique sites:
Rb 0.000 0.250 0.128
Ac 0.000 0.000 0.500
Np 0.250 0.250 0.750
O 0.000 0.065 0.736
O 0.216 0.250 0.542

***

Entry 7:
Below is a relaxed Rb4AcNp3O12 crystal, with properties calculated at the PBE level.

**E_form (uncorrected)**: -2.67 eV/atom
**Volume**: 692.6 Å³ per cell
**DOS at the Fermi energy**: 6.62 states/eV/f.u.

Lattice parameters (Å, degrees): 8.848 8.848 8.848 90.00 90.00 90.00
Space group Im-3m (No. 229)
Unique sites:
Rb 0.250 0.250 0.250
Ac 0.000 0.000 0.000
Np 0.000 0.000 0.500
O 0.000 0.000 0.276
O 0.000 0.250 0.500

***

Entry 8:
Below is a relaxed RbAcNpO6 crystal, with properties calculated at the PBE level.

**E_form (uncorrected)**: -2.51 eV/atom
**Volume**: 687.2 Å³ per cell
**DOS at the Fermi energy**: 6.85 states/eV/f.u.

Lattice parameters (Å, degrees): 7.960 8.193 10.536 90.00 90.00 90.00
Space group Imma (No. 74)
Unique sites:
Rb 0.000 0.250 0.151
Ac 0.250 0.250 0.750
Np 0.000 0.000 0.500
O 0.000 0.250 0.579
O 0.000 0.250 0.868
O 0.171 0.031 0.373

***

Entry 9:
Below is a relaxed Rb3Ac3NpO8 crystal, with properties calculated at the PBE level.

**E_form (uncorrected)**: -2.63 eV/atom
**Volume**: 1004.6 Å³ per cell
**DOS at the Fermi energy**: 11.25 states/eV/f.u.

Lattice parameters (Å, degrees): 7.6118 7.6118 20.0208 90.00 90.00 120.00
Space group R-3m (No. 166, hexagonal axes)
Unique sites:
Rb 0.0000 0.5000 0.0000
Ac 0.0000 0.5000 0.5000
Np 0.0000 0.0000 0.5000
O 0.0000 0.0000 0.2274
O 0.0320 0.5160 0.2224

***

Entry 10:
Below is a relaxed RbAc2NpO6 crystal, with properties calculated at the PBE level.

**E_form (uncorrected)**: -2.94 eV/atom
**Volume**: 588.0 Å³ per cell
**DOS at the Fermi energy**: 8.10 states/eV/f.u.

Lattice parameters (Å, degrees): 6.3861 6.3861 16.6485 90.00 90.00 120.00
Space group R3 (No. 146, hexagonal axes)
Unique sites:
Rb 0.0000 0.0000 0.0000
Ac 0.0000 0.0000 0.2281
Ac 0.0000 0.0000 0.7436
Np 0.0000 0.0000 0.5354
O 0.0315 0.3555 0.1418
O 0.1083 0.7148 0.2872

***

Entry 11:
Below is a relaxed Ac2NpRh3O12 crystal, with properties calculated at the PBE level.

**E_form (uncorrected)**: -1.72 eV/atom
**Volume**: 778.2 Å³ per cell
**DOS at the Fermi energy**: 11.34 states/eV/f.u.

Lattice parameters (Å, degrees): 6.9912 6.9912 18.3847 90.00 90.00 120.00
Space group R-3m (No. 166, hexagonal axes)
Unique sites:
Ac 0.0000 0.0000 0.0949
Np 0.0000 0.0000 0.5000
Rh 0.0000 0.5000 0.0000
O 0.0295 0.5147 0.3576
O 0.0476 0.5238 0.1087

***

Entry 12:
Below is a relaxed Ac2NpRhO6 crystal, with properties calculated at the PBE level.

**E_form (uncorrected)**: -2.46 eV/atom
**Volume**: 323.5 Å³ per cell
**DOS at the Fermi energy**: 7.62 states/eV/f.u.

Lattice parameters (Å, degrees): 5.506 9.326 6.299 90.00 90.00 90.00
Space group Pmmn (No. 59, origin choice 2)
Unique sites:
Ac 0.250 0.030 0.247
Np 0.250 0.250 0.673
Rh 0.250 0.750 0.843
O 0.011 0.750 0.084
O 0.015 0.250 0.388
O 0.250 0.026 0.634